Record 1
# meta-GGA SCAN RbPd2CI, single point on PBEsol structure
# * raw formation energy: 1.1399 eV/atom
data_RbPd2CI
_chemical_formula_sum 'Rb1 Pd2 C1 I1'
_symmetry_space_group_name_H-M 'P 4/m m m'
_symmetry_Int_Tables_number 123
_symmetry_space_group_name_Hall '-P 4 2'
_cell_length_a 4.9857
_cell_length_b 4.9857
_cell_length_c 5.0114
_cell_angle_alpha 90.00
_cell_angle_beta 90.00
_cell_angle_gamma 90.00
loop_
_atom_site_label
_atom_site_type_symbol
_atom_site_fract_x
_atom_site_fract_y
_atom_site_fract_z
Rb1 Rb 0.0000 0.0000 0.0000
Pd1 Pd 0.0000 0.5000 0.5000
C1 C 0.5000 0.5000 0.0000
I1 I 0.5000 0.5000 0.5000

Record 2
# meta-GGA SCAN Ca2TlZn, single point on PBEsol structure
# * formation enthalpy at 0 K: -0.474 eV/atom
data_Ca2TlZn
_chemical_formula_sum 'Ca8 Tl4 Zn4'
_symmetry_space_group_name_H-M 'F m -3 m'
_symmetry_Int_Tables_number 225
_symmetry_space_group_name_Hall '-F 4 2 3'
_cell_length_a 7.4291
_cell_length_b 7.4291
_cell_length_c 7.4291
_cell_angle_alpha 90.00
_cell_angle_beta 90.00
_cell_angle_gamma 90.00
loop_
_atom_site_label
_atom_site_type_symbol
_atom_site_fract_x
_atom_site_fract_y
_atom_site_fract_z
Ca1 Ca 0.2500 0.2500 0.2500
Tl1 Tl 0.0000 0.0000 0.0000
Zn1 Zn 0.0000 0.0000 0.5000

Record 3
# meta-GGA SCAN Cu2BrCl, single point on PBEsol structure
# * excess energy over the best structure of this formula in the dataset: 2.2 kJ/mol of atoms
# * raw formation energy: -0.3403 eV/atom
data_Cu2BrCl
_chemical_formula_sum 'Cu2 Br1 Cl1'
_symmetry_space_group_name_H-M 'P 1 m 1'
_symmetry_Int_Tables_number 6
_cell_length_a 4.1421
_cell_length_b 3.8388
_cell_length_c 4.9248
_cell_angle_alpha 90.00
_cell_angle_beta 91.23
_cell_angle_gamma 90.00
loop_
_symmetry_equiv_pos_as_xyz
'x,y,z'
'x,-y,z'
loop_
_atom_site_label
_atom_site_type_symbol
_atom_site_fract_x
_atom_site_fract_y
_atom_site_fract_z
Cu1 Cu 0.0000 0.0000 0.0000
Cu2 Cu 0.2403 0.5000 0.3282
Br1 Br 0.9057 0.5000 0.7043
Cl1 Cl 0.4929 0.0000 0.2101

Record 4
# meta-GGA SCAN BaZr2Co, single point on PBEsol structure
# * formation enthalpy at 0 K: 0.845 eV/atom
# * excess energy over the best structure of this formula in the dataset: 0.0 kJ/mol of atoms
data_BaZr2Co
_chemical_formula_sum 'Ba4 Zr8 Co4'
_symmetry_space_group_name_H-M 'F -4 3 m'
_symmetry_Int_Tables_number 216
_symmetry_space_group_name_Hall 'F -4 2 3'
_cell_length_a 7.0595
_cell_length_b 7.0595
_cell_length_c 7.0595
_cell_angle_alpha 90.00
_cell_angle_beta 90.00
_cell_angle_gamma 90.00
loop_
_atom_site_label
_atom_site_type_symbol
_atom_site_fract_x
_atom_site_fract_y
_atom_site_fract_z
Ba1 Ba 0.0000 0.0000 0.0000
Zr1 Zr 0.0000 0.0000 0.5000
Zr2 Zr 0.2500 0.2500 0.7500
Co1 Co 0.2500 0.2500 0.2500

Record 5
# meta-GGA SCAN Li2MgZn, single point on PBEsol structure
# * formation enthalpy at 0 K: -0.135 eV/atom
data_Li2MgZn
_chemical_formula_sum 'Li4 Mg2 Zn2'
_symmetry_space_group_name_H-M 'I -4 m 2'
_symmetry_Int_Tables_number 119
_symmetry_space_group_name_Hall 'I -4 -2'
_cell_length_a 4.1172
_cell_length_b 4.1172
_cell_length_c 7.9145
_cell_angle_alpha 90.00
_cell_angle_beta 90.00
_cell_angle_gamma 90.00
loop_
_atom_site_label
_atom_site_type_symbol
_atom_site_fract_x
_atom_site_fract_y
_atom_site_fract_z
Li1 Li 0.0000 0.0000 0.0000
Li2 Li 0.0000 0.5000 0.2500
Mg1 Mg 0.0000 0.0000 0.5000
Zn1 Zn 0.0000 0.5000 0.7500

Record 6
# meta-GGA SCAN WBrCl2, single point on PBEsol structure
# * excess energy over the best structure of this formula in the dataset: 0.0 kJ/mol of atoms
# * raw formation energy: -0.3132 eV/atom
data_WBrCl2
_chemical_formula_sum 'W2 Br2 Cl4'
_symmetry_space_group_name_H-M 'C m m m'
_symmetry_Int_Tables_number 65
_symmetry_space_group_name_Hall '-C 2 2'
_cell_length_a 4.9399
_cell_length_b 12.6387
_cell_length_c 3.1349
_cell_angle_alpha 90.00
_cell_angle_beta 90.00
_cell_angle_gamma 90.00
loop_
_atom_site_label
_atom_site_type_symbol
_atom_site_fract_x
_atom_site_fract_y
_atom_site_fract_z
W1 W 0.0000 0.0000 0.0000
Br1 Br 0.0000 0.5000 0.0000
Cl1 Cl 0.0000 0.1459 0.5000

Record 7
# meta-GGA SCAN GeHCl3, single point on PBEsol structure
# * final energy: -45.7 eV for the cell shown
data_GeHCl3
_chemical_formula_sum 'Ge1 H1 Cl3'
_symmetry_space_group_name_H-M 'P m -3 m'
_symmetry_Int_Tables_number 221
_symmetry_space_group_name_Hall '-P 4 2 3'
_cell_length_a 4.3268
_cell_length_b 4.3268
_cell_length_c 4.3268
_cell_angle_alpha 90.00
_cell_angle_beta 90.00
_cell_angle_gamma 90.00
loop_
_atom_site_label
_atom_site_type_symbol
_atom_site_fract_x
_atom_site_fract_y
_atom_site_fract_z
Ge1 Ge 0.0000 0.0000 0.0000
H1 H 0.5000 0.5000 0.5000
Cl1 Cl 0.0000 0.5000 0.5000

Record 8
# meta-GGA SCAN TaAlRu2, single point on PBEsol structure
# * formation enthalpy at 0 K: -0.073 eV/atom
data_TaAlRu2
_chemical_formula_sum 'Ta4 Al4 Ru8'
_symmetry_space_group_name_H-M 'F -4 3 m'
_symmetry_Int_Tables_number 216
_symmetry_space_group_name_Hall 'F -4 2 3'
_cell_length_a 6.1725
_cell_length_b 6.1725
_cell_length_c 6.1725
_cell_angle_alpha 90.00
_cell_angle_beta 90.00
_cell_angle_gamma 90.00
loop_
_atom_site_label
_atom_site_type_symbol
_atom_site_fract_x
_atom_site_fract_y
_atom_site_fract_z
Ta1 Ta 0.0000 0.0000 0.0000
Al1 Al 0.2500 0.2500 0.2500
Ru1 Ru 0.0000 0.0000 0.5000
Ru2 Ru 0.2500 0.2500 0.7500

Record 9
# meta-GGA SCAN Si2IrW, single point on PBEsol structure
# * excess energy over the best structure of this formula in the dataset: 14.1 kJ/mol of atoms
# * raw formation energy: -0.1665 eV/atom
data_Si2IrW
_chemical_formula_sum 'Si4 Ir2 W2'
_symmetry_space_group_name_H-M 'C 1 2/m 1'
_symmetry_Int_Tables_number 12
_cell_length_a 8.0662
_cell_length_b 2.7348
_cell_length_c 5.1104
_cell_angle_alpha 90.00
_cell_angle_beta 101.94
_cell_angle_gamma 90.00
loop_
_symmetry_equiv_pos_as_xyz
'x,y,z'
'-x,-y,-z'
'-x,y,-z'
'x,-y,z'
'x+1/2,y+1/2,z'
'-x+1/2,-y+1/2,-z'
'-x+1/2,y+1/2,-z'
'x+1/2,-y+1/2,z'
loop_
_atom_site_label
_atom_site_type_symbol
_atom_site_fract_x
_atom_site_fract_y
_atom_site_fract_z
Si1 Si 0.2457 0.0000 0.2402
Ir1 Ir 0.0000 0.5000 0.0000
W1 W 0.0000 0.0000 0.5000

Record 10
# meta-GGA SCAN Sr2MnGe2O7, single point on PBEsol structure
# * raw formation energy: -2.4344 eV/atom
data_Sr2MnGe2O7
_chemical_formula_sum 'Sr4 Mn2 Ge4 O14'
_symmetry_space_group_name_H-M 'P -4 21 m'
_symmetry_Int_Tables_number 113
_cell_length_a 8.2485
_cell_length_b 8.2485
_cell_length_c 5.3002
_cell_angle_alpha 90.00
_cell_angle_beta 90.00
_cell_angle_gamma 90.00
loop_
_symmetry_equiv_pos_as_xyz
'x,y,z'
'y,-x,-z'
'-x,-y,z'
'-y,x,-z'
'x+1/2,-y+1/2,-z'
'y+1/2,x+1/2,z'
'-x+1/2,y+1/2,-z'
'-y+1/2,-x+1/2,z'
loop_
_atom_site_label
_atom_site_type_symbol
_atom_site_fract_x
_atom_site_fract_y
_atom_site_fract_z
Sr1 Sr 0.1658 0.3342 0.0067
Mn1 Mn 0.0000 0.0000 0.5000
Ge1 Ge 0.1417 0.6417 0.5520
O1 O 0.0000 0.5000 0.6881
O2 O 0.0815 0.8181 0.7150
O3 O 0.1378 0.6378 0.2258

Record 11
# meta-GGA SCAN ZrIr2Pb, single point on PBEsol structure
# * formation enthalpy at 0 K: 0.373 eV/atom
data_ZrIr2Pb
_chemical_formula_sum 'Zr3 Ir6 Pb3'
_symmetry_space_group_name_H-M 'R 3 m'
_symmetry_Int_Tables_number 160
_symmetry_space_group_name_Hall 'R 3 -2"'
_cell_length_a 2.9815
_cell_length_b 2.9815
_cell_length_c 28.0286
_cell_angle_alpha 90.00
_cell_angle_beta 90.00
_cell_angle_gamma 120.00
loop_
_atom_site_label
_atom_site_type_symbol
_atom_site_fract_x
_atom_site_fract_y
_atom_site_fract_z
Zr1 Zr 0.0000 0.0000 0.0000
Ir1 Ir 0.0000 0.0000 0.4895
Ir2 Ir 0.0000 0.0000 0.7476
Pb1 Pb 0.0000 0.0000 0.2377

Record 12
# meta-GGA SCAN Ta3Cu, single point on PBEsol structure
# * formation enthalpy at 0 K: 0.178 eV/atom
data_Ta3Cu
_chemical_formula_sum 'Ta6 Cu2'
_symmetry_space_group_name_H-M 'C 1 2/m 1'
_symmetry_Int_Tables_number 12
_cell_length_a 9.4659
_cell_length_b 2.9419
_cell_length_c 4.8815
_cell_angle_alpha 90.00
_cell_angle_beta 104.68
_cell_angle_gamma 90.00
loop_
_symmetry_equiv_pos_as_xyz
'x,y,z'
'-x,-y,-z'
'-x,y,-z'
'x,-y,z'
'x+1/2,y+1/2,z'
'-x+1/2,-y+1/2,-z'
'-x+1/2,y+1/2,-z'
'x+1/2,-y+1/2,z'
loop_
_atom_site_label
_atom_site_type_symbol
_atom_site_fract_x
_atom_site_fract_y
_atom_site_fract_z
Ta1 Ta 0.0000 0.0000 0.0000
Ta2 Ta 0.2357 0.0000 0.7323
Cu1 Cu 0.0000 0.5000 0.5000